Entry 1:
# BaZn2Co

Crystalline BaZn2Co at its relaxed geometry (PBE-GGA, the Alexandria database).

Cell: 4.6423 4.1543 5.3353 Å, 90.00 110.33 90.00°
Sites, in units of the cell vectors:
Ba (0.0000, 0.0000, 0.0000)
Zn (0.3034, 0.5000, 0.6196)
Zn (0.6966, 0.5000, 0.3804)
Co (0.5000, 0.0000, 0.5000)

* energy relative to the elements: 190 meV/atom
* crystal system: monoclinic



Entry 2:
# BaZnCo

Crystalline BaZnCo at its relaxed geometry (PBE-GGA, the Alexandria database).

Cell: 5.2632 5.2632 5.2632 Å, 60.00 60.00 60.00°
Sites, in units of the cell vectors:
Ba (0.0000, 0.0000, 0.0000)
Zn (0.2500, 0.2500, 0.2500)
Co (0.7500, 0.7500, 0.7500)

* energy relative to the elements: 997 meV/atom
* crystal system: cubic



Entry 3:
# Ba2ZnCo

Crystalline Ba2ZnCo at its relaxed geometry (PBE-GGA, the Alexandria database).

Cell: 4.4615 4.4615 8.8242 Å, 104.10 104.10 58.90°
Sites, in units of the cell vectors:
Ba (0.2376, 0.2376, 0.2119)
Ba (0.7624, 0.7624, 0.7881)
Zn (0.0000, 0.0000, 0.5000)
Co (0.5000, 0.5000, 0.0000)

* energy relative to the elements: 399 meV/atom
* crystal system: monoclinic



Entry 4:
# BaZn2Co

Crystalline BaZn2Co at its relaxed geometry (PBE-GGA, the Alexandria database).

Cell: 3.2681 3.2681 7.5271 Å, 90.00 90.00 90.00°
Sites, in units of the cell vectors:
Ba (0.0000, 0.0000, 0.0000)
Zn (0.5000, 0.5000, 0.3362)
Zn (0.5000, 0.5000, 0.6638)
Co (0.0000, 0.0000, 0.5000)

* energy relative to the elements: 187 meV/atom
* crystal system: tetragonal



Entry 5:
# Ba2ZnCo

Crystalline Ba2ZnCo at its relaxed geometry (PBE-GGA, the Alexandria database).

Cell: 4.3946 4.3946 8.9182 Å, 104.69 104.69 60.08°
Sites, in units of the cell vectors:
Ba (0.0000, 0.0000, 0.0000)
Ba (0.1713, 0.1713, 0.5000)
Zn (0.7520, 0.7520, 0.2501)
Co (0.4183, 0.4183, 0.2495)

* energy relative to the elements: 64 meV/atom
* crystal system: monoclinic



Entry 6:
# BaZn2Co

Crystalline BaZn2Co at its relaxed geometry (PBE-GGA, the Alexandria database).

Cell: 5.0130 5.0130 5.0130 Å, 60.00 60.00 60.00°
Sites, in units of the cell vectors:
Ba (0.0000, 0.0000, 0.0000)
Zn (0.5000, 0.5000, 0.5000)
Zn (0.7500, 0.7500, 0.7500)
Co (0.2500, 0.2500, 0.2500)

* energy relative to the elements: 459 meV/atom
* crystal system: cubic



Entry 7:
# BaZn2Co

Crystalline BaZn2Co at its relaxed geometry (PBE-GGA, the Alexandria database).

Cell: 3.4359 3.4359 7.2556 Å, 90.00 90.00 90.00°
Sites, in units of the cell vectors:
Ba (0.0000, 0.0000, 0.0000)
Zn (0.0000, 0.0000, 0.4326)
Zn (0.5000, 0.5000, 0.6507)
Co (0.5000, 0.5000, 0.3242)

* energy relative to the elements: 217 meV/atom
* crystal system: tetragonal



Entry 8:
# BaZn2Co

Crystalline BaZn2Co at its relaxed geometry (PBE-GGA, the Alexandria database).

Cell: 5.6154 5.6154 4.0305 Å, 105.46 105.46 120.73°
Sites, in units of the cell vectors:
Ba (0.0000, 0.0000, 0.0000)
Zn (0.0000, 0.5000, 0.5000)
Zn (0.5000, 0.0000, 0.5000)
Co (0.5000, 0.5000, 0.0000)

* energy relative to the elements: 610 meV/atom
* crystal system: monoclinic



Entry 9:
# Ba2ZnCo

Crystalline Ba2ZnCo at its relaxed geometry (PBE-GGA, the Alexandria database).

Cell: 8.3882 8.3882 8.3882 Å, 149.38 149.15 44.02°
Sites, in units of the cell vectors:
Ba (0.0000, 0.0000, 0.0000)
Ba (0.7627, 0.2627, 0.5000)
Zn (0.4192, 0.4192, 0.0000)
Co (0.3619, 0.8619, 0.5000)

* energy relative to the elements: 175 meV/atom
* crystal system: orthorhombic



Entry 10:
# Ba2ZnCo2

Crystalline Ba2ZnCo2 at its relaxed geometry (PBE-GGA, the Alexandria database).

Cell: 7.4553 7.4553 4.7249 Å, 90.00 90.00 90.00°
Sites, in units of the cell vectors:
Ba (0.1856, 0.3144, 0.0000)
Ba (0.3144, 0.8144, 0.0000)
Ba (0.6856, 0.1856, 0.0000)
Ba (0.8144, 0.6856, 0.0000)
Zn (0.0000, 0.0000, 0.5000)
Zn (0.5000, 0.5000, 0.5000)
Co (0.1045, 0.6045, 0.5000)
Co (0.3955, 0.1045, 0.5000)
Co (0.6045, 0.8955, 0.5000)
Co (0.8955, 0.3955, 0.5000)

* energy relative to the elements: 372 meV/atom
* crystal system: tetragonal



Entry 11:
# BaZnCo

Crystalline BaZnCo at its relaxed geometry (PBE-GGA, the Alexandria database).

Cell: 4.4848 4.4848 8.3780 Å, 90.00 90.00 90.00°
Sites, in units of the cell vectors:
Ba (0.2500, 0.2500, 0.2213)
Ba (0.7500, 0.7500, 0.7787)
Zn (0.2500, 0.2500, 0.6124)
Zn (0.7500, 0.7500, 0.3876)
Co (0.2500, 0.7500, 0.5000)
Co (0.7500, 0.2500, 0.5000)

* energy relative to the elements: 110 meV/atom
* crystal system: tetragonal



Entry 12:
# BaZn2Co

Crystalline BaZn2Co at its relaxed geometry (PBE-GGA, the Alexandria database).

Cell: 5.2510 5.2510 5.2510 Å, 128.76 112.08 89.89°
Sites, in units of the cell vectors:
Ba (0.0000, 0.0000, 0.0000)
Zn (0.3230, 0.8230, 0.5000)
Zn (0.5284, 0.5284, 0.0000)
Co (0.6429, 0.1429, 0.5000)

* energy relative to the elements: 278 meV/atom
* crystal system: orthorhombic



Entry 13:
# BaZnCo

Crystalline BaZnCo at its relaxed geometry (PBE-GGA, the Alexandria database).

Cell: 6.1009 6.1009 6.1009 Å, 146.72 146.72 47.78°
Sites, in units of the cell vectors:
Ba (0.0000, 0.0000, 0.0000)
Zn (0.7239, 0.7239, 0.0000)
Co (0.2768, 0.2768, 0.0000)

* energy relative to the elements: 294 meV/atom
* crystal system: tetragonal



Entry 14:
# Ba2ZnCo

Crystalline Ba2ZnCo at its relaxed geometry (PBE-GGA, the Alexandria database).

Cell: 3.9373 3.9368 7.9865 Å, 90.00 90.07 90.00°
Sites, in units of the cell vectors:
Ba (0.9996, 0.0000, 0.2300)
Ba (0.0004, 0.0000, 0.7700)
Zn (0.5000, 0.5000, 0.5000)
Co (0.5000, 0.5000, 0.0000)

* energy relative to the elements: 282 meV/atom
* crystal system: monoclinic



Entry 15:
# BaZn2Co

Crystalline BaZn2Co at its relaxed geometry (PBE-GGA, the Alexandria database).

Cell: 9.0351 9.0351 9.0351 Å, 148.26 148.26 45.50°
Sites, in units of the cell vectors:
Ba (0.3750, 0.6250, 0.7500)
Ba (0.6250, 0.3750, 0.2500)
Zn (0.0000, 0.0000, 0.0000)
Zn (0.0000, 0.0000, 0.5000)
Zn (0.0000, 0.5000, 0.0000)
Zn (0.5000, 0.0000, 0.5000)
Co (0.1250, 0.8750, 0.2500)
Co (0.8750, 0.1250, 0.7500)

* energy relative to the elements: 155 meV/atom
* crystal system: tetragonal



Entry 16:
# BaZn4Co

Crystalline BaZn4Co at its relaxed geometry (PBE-GGA, the Alexandria database).

Cell: 5.4499 5.4499 5.4499 Å, 60.00 60.00 60.00°
Sites, in units of the cell vectors:
Ba (0.0000, 0.0000, 0.0000)
Zn (0.3781, 0.3781, 0.3781)
Zn (0.3781, 0.3781, 0.8657)
Zn (0.3781, 0.8657, 0.3781)
Zn (0.8657, 0.3781, 0.3781)
Co (0.7500, 0.7500, 0.7500)

* energy relative to the elements: 193 meV/atom
* crystal system: cubic



Entry 17:
# BaZnCo

Crystalline BaZnCo at its relaxed geometry (PBE-GGA, the Alexandria database).

Cell: 4.3070 4.3070 4.7272 Å, 90.00 90.00 120.00°
Sites, in units of the cell vectors:
Ba (0.0000, 0.0000, 0.0000)
Zn (0.3333, 0.6667, 0.5000)
Co (0.6667, 0.3333, 0.5000)

* energy relative to the elements: 203 meV/atom
* crystal system: hexagonal



Entry 18:
# Ba2Zn2Co

Crystalline Ba2Zn2Co at its relaxed geometry (PBE-GGA, the Alexandria database).

Cell: 7.2828 7.2828 5.2189 Å, 90.00 90.00 90.00°
Sites, in units of the cell vectors:
Ba (0.1856, 0.3144, 0.0000)
Ba (0.3144, 0.8144, 0.0000)
Ba (0.6856, 0.1856, 0.0000)
Ba (0.8144, 0.6856, 0.0000)
Zn (0.1320, 0.6320, 0.5000)
Zn (0.3680, 0.1320, 0.5000)
Zn (0.6320, 0.8680, 0.5000)
Zn (0.8680, 0.3680, 0.5000)
Co (0.0000, 0.0000, 0.5000)
Co (0.5000, 0.5000, 0.5000)

* energy relative to the elements: 282 meV/atom
* crystal system: tetragonal



Entry 19:
# Ba3ZrCo

Crystalline Ba3ZrCo at its relaxed geometry (PBE-GGA, the Alexandria database).

Cell: 5.8586 5.8586 5.8586 Å, 90.00 90.00 90.00°
Sites, in units of the cell vectors:
Ba (0.0000, 0.0000, 0.5000)
Ba (0.0000, 0.5000, 0.0000)
Ba (0.5000, 0.0000, 0.0000)
Zr (0.5000, 0.5000, 0.5000)
Co (0.0000, 0.0000, 0.0000)

* energy relative to the elements: 796 meV/atom
* crystal system: cubic
* polymorph energy (0 for the lowest one): 0.00 kJ/mol of atoms



Entry 20:
# BaZrCo3

Crystalline BaZrCo3 at its relaxed geometry (PBE-GGA, the Alexandria database).

Cell: 4.6819 4.6819 4.6819 Å, 90.00 90.00 90.00°
Sites, in units of the cell vectors:
Ba (0.0000, 0.0000, 0.0000)
Zr (0.5000, 0.5000, 0.5000)
Co (0.0000, 0.0000, 0.5000)
Co (0.0000, 0.5000, 0.0000)
Co (0.5000, 0.0000, 0.0000)

* energy relative to the elements: 1911 meV/atom
* crystal system: cubic
* polymorph energy (0 for the lowest one): 100.04 kJ/mol of atoms



Entry 21:
# BaZrCo2

Crystalline BaZrCo2 at its relaxed geometry (PBE-GGA, the Alexandria database).

Cell: 3.3366 3.3402 7.4082 Å, 90.00 90.10 90.00°
Sites, in units of the cell vectors:
Ba (0.0000, 0.0000, 0.0000)
Zr (0.0000, 0.0000, 0.5000)
Co (0.4992, 0.5000, 0.3203)
Co (0.5008, 0.5000, 0.6797)

* energy relative to the elements: 210 meV/atom
* crystal system: monoclinic
* polymorph energy (0 for the lowest one): 6.54 kJ/mol of atoms



Entry 22:
# BaZr4Co

Crystalline BaZr4Co at its relaxed geometry (PBE-GGA, the Alexandria database).

Cell: 5.9470 5.9470 5.9470 Å, 60.00 60.00 60.00°
Sites, in units of the cell vectors:
Ba (0.0000, 0.0000, 0.0000)
Zr (0.3766, 0.3766, 0.3766)
Zr (0.3766, 0.3766, 0.8703)
Zr (0.3766, 0.8703, 0.3766)
Zr (0.8703, 0.3766, 0.3766)
Co (0.7500, 0.7500, 0.7500)

* energy relative to the elements: 815 meV/atom
* crystal system: cubic



Entry 23:
# BaZrCo2

Crystalline BaZrCo2 at its relaxed geometry (PBE-GGA, the Alexandria database).

Cell: 7.5734 7.5734 7.5734 Å, 30.42 30.42 30.42°
Sites, in units of the cell vectors:
Ba (0.0000, 0.0000, 0.0000)
Zr (0.8268, 0.8268, 0.8268)
Co (0.2217, 0.2217, 0.2217)
Co (0.5557, 0.5557, 0.5557)

* energy relative to the elements: 142 meV/atom
* crystal system: trigonal
* polymorph energy (0 for the lowest one): 0.00 kJ/mol of atoms



Entry 24:
# Ba4ZrCo

Crystalline Ba4ZrCo at its relaxed geometry (PBE-GGA, the Alexandria database).

Cell: 7.1241 7.1241 7.1241 Å, 60.00 60.00 60.00°
Sites, in units of the cell vectors:
Ba (0.1249, 0.1249, 0.1249)
Ba (0.1249, 0.1249, 0.6252)
Ba (0.1249, 0.6252, 0.1249)
Ba (0.6252, 0.1249, 0.1249)
Zr (0.5000, 0.5000, 0.5000)
Co (0.7500, 0.7500, 0.7500)

* energy relative to the elements: 1235 meV/atom
* crystal system: cubic



Entry 25:
# BaZrCo2

Crystalline BaZrCo2 at its relaxed geometry (PBE-GGA, the Alexandria database).

Cell: 7.2540 7.2540 7.2540 Å, 150.41 149.03 43.37°
Sites, in units of the cell vectors:
Ba (0.0000, 0.0000, 0.0000)
Zr (0.7433, 0.2433, 0.5000)
Co (0.2703, 0.7703, 0.5000)
Co (0.3664, 0.3664, 0.0000)

* energy relative to the elements: 292 meV/atom
* crystal system: orthorhombic
* polymorph energy (0 for the lowest one): 14.47 kJ/mol of atoms



Entry 26:
# BaZrCo2

Crystalline BaZrCo2 at its relaxed geometry (PBE-GGA, the Alexandria database).

Cell: 4.7505 4.7505 4.7505 Å, 60.00 60.00 60.00°
Sites, in units of the cell vectors:
Ba (0.0000, 0.0000, 0.0000)
Zr (0.7500, 0.7500, 0.7500)
Co (0.2500, 0.2500, 0.2500)
Co (0.5000, 0.5000, 0.5000)

* energy relative to the elements: 833 meV/atom
* crystal system: cubic
* polymorph energy (0 for the lowest one): 66.67 kJ/mol of atoms



Entry 27:
# BaZrCo2

Crystalline BaZrCo2 at its relaxed geometry (PBE-GGA, the Alexandria database).

Cell: 3.8585 6.7371 6.7371 Å, 33.10 90.00 90.00°
Sites, in units of the cell vectors:
Ba (0.0000, 0.0000, 0.0000)
Zr (0.5000, 0.2676, 0.2676)
Co (0.0000, 0.7291, 0.7291)
Co (0.5000, 0.6398, 0.6398)

* energy relative to the elements: 238 meV/atom
* crystal system: orthorhombic
* polymorph energy (0 for the lowest one): 9.23 kJ/mol of atoms



Entry 28:
# BaZr2Co2

Crystalline BaZr2Co2 at its relaxed geometry (PBE-GGA, the Alexandria database).

Cell: 6.8274 6.8274 6.8274 Å, 142.22 142.22 54.49°
Sites, in units of the cell vectors:
Ba (0.0000, 0.0000, 0.0000)
Zr (0.2500, 0.7500, 0.5000)
Zr (0.7500, 0.2500, 0.5000)
Co (0.3638, 0.3638, 0.0000)
Co (0.6362, 0.6362, 0.0000)

* energy relative to the elements: 76 meV/atom
* crystal system: tetragonal



Entry 29:
# BaZrCo2

Crystalline BaZrCo2 at its relaxed geometry (PBE-GGA, the Alexandria database).

Cell: 4.8498 4.8498 4.8498 Å, 60.00 60.00 60.00°
Sites, in units of the cell vectors:
Ba (0.0000, 0.0000, 0.0000)
Zr (0.5000, 0.5000, 0.5000)
Co (0.2500, 0.2500, 0.2500)
Co (0.7500, 0.7500, 0.7500)

* energy relative to the elements: 608 meV/atom
* crystal system: cubic
* polymorph energy (0 for the lowest one): 44.94 kJ/mol of atoms